CaGa2HgW after structural relaxation, computed with GGA-PBE.

Results
As for the space group: P4/mmm. Its uncorrected energy is -3.692 eV per atom. The crystal system is tetragonal. The value obtained for the formation energy is 0.570 eV/atom.

```
CaGa2HgW
1.0
4.974 0.000 0.000
0.000 4.974 0.000
0.000 0.000 5.686
Ca Ga Hg W
1 2 1 1
direct
0.000 0.000 0.000
0.000 0.500 0.500
0.500 0.000 0.500
0.500 0.500 0.000
0.000 0.000 0.500
```

CaGaHgW2 after structural relaxation, computed with GGA-PBE.

Results
As for the space group: P4/mmm. Its uncorrected energy is -4.888 eV per atom. The crystal system is tetragonal. The value obtained for the formation energy is 1.359 eV/atom.

```
CaGaHgW2
1.0
4.776 0.000 0.000
0.000 4.776 0.000
0.000 0.000 5.010
Ca Ga Hg W
1 1 1 2
direct
0.000 0.000 0.000
0.500 0.500 0.500
0.500 0.500 0.000
0.000 0.500 0.500
0.500 0.000 0.500
```

Ca4ZnGaHg2 after structural relaxation, computed with GGA-PBE.

Results
As for the space group: R-3m. Its uncorrected energy is -2.061 eV per atom. The crystal system is trigonal. The value obtained for the formation energy is -0.447 eV/atom.

```
Ca4ZnGaHg2
1.0
2.640 1.524 8.675
-2.640 1.524 8.675
0.000 -3.048 8.675
Ca Zn Ga Hg
4 1 1 2
direct
0.124 0.124 0.124
0.374 0.374 0.374
0.626 0.626 0.626
0.876 0.876 0.876
0.500 0.500 0.500
0.000 0.000 0.000
0.249 0.249 0.249
0.751 0.751 0.751
```

Ca2Zn4Ga3Hg after structural relaxation, computed with GGA-PBE.

Results
As for the space group: P-4m2. Its uncorrected energy is -2.141 eV per atom. The crystal system is tetragonal. The value obtained for the formation energy is -0.293 eV/atom.

```
Ca2Zn4Ga3Hg
1.0
4.315 0.000 0.000
0.000 4.315 0.000
0.000 0.000 10.946
Ca Zn Ga Hg
2 4 3 1
direct
0.000 0.500 0.242
0.500 0.000 0.758
0.000 0.000 0.000
0.000 0.500 0.645
0.500 0.000 0.355
0.500 0.500 0.000
0.000 0.500 0.870
0.500 0.000 0.130
0.500 0.500 0.500
0.000 0.000 0.500
```

Ca2Zn3Ga4Hg after structural relaxation, computed with GGA-PBE.

Results
As for the space group: P-4m2. Its uncorrected energy is -2.326 eV per atom. The crystal system is tetragonal. The value obtained for the formation energy is -0.303 eV/atom.

```
Ca2Zn3Ga4Hg
1.0
4.320 0.000 0.000
0.000 4.320 0.000
0.000 0.000 11.017
Ca Zn Ga Hg
2 3 4 1
direct
0.000 0.500 0.244
0.500 0.000 0.756
0.000 0.500 0.868
0.500 0.000 0.132
0.500 0.500 0.500
0.000 0.000 0.000
0.000 0.500 0.645
0.500 0.000 0.355
0.500 0.500 0.000
0.000 0.000 0.500
```

CaHo3Ga4 after structural relaxation, computed with GGA-PBE.

Results
As for the space group: Pmma. Its uncorrected energy is -4.017 eV per atom. The crystal system is orthorhombic. The value obtained for the formation energy is -0.536 eV/atom.

```
CaHo3Ga4
1.0
10.143 0.000 0.000
0.000 7.119 0.000
0.000 0.000 5.071
Ca Ho Ga
2 6 8
direct
0.000 0.000 0.000
0.500 0.000 0.000
0.000 0.500 0.000
0.250 0.000 0.499
0.250 0.500 0.499
0.500 0.500 0.000
0.750 0.000 0.501
0.750 0.500 0.501
0.000 0.254 0.500
0.000 0.746 0.500
0.250 0.254 0.999
0.250 0.746 0.999
0.500 0.254 0.500
0.500 0.746 0.500
0.750 0.254 0.001
0.750 0.746 0.001
```

CaHoGa4 after structural relaxation, computed with GGA-PBE.

Results
As for the space group: Immm. The energy above the most stable polymorph in this dataset is 0.000 eV/atom. Its uncorrected energy is -3.659 eV per atom. The crystal system is orthorhombic. The value obtained for the formation energy is -0.544 eV/atom.

```
CaHoGa4
1.0
-2.160 3.791 3.904
2.160 -3.791 3.904
2.160 3.791 -3.904
Ca Ho Ga
1 1 4
direct
0.000 0.000 0.000
0.500 0.500 0.000
0.103 0.771 0.332
0.439 0.771 0.668
0.561 0.229 0.332
0.897 0.229 0.668
```

Ca5HoGa6 after structural relaxation, computed with GGA-PBE.

Results
As for the space group: C2/m. Its uncorrected energy is -3.194 eV per atom. The crystal system is monoclinic. The value obtained for the formation energy is -0.465 eV/atom.

```
Ca5HoGa6
1.0
8.102 -3.679 0.000
8.102 3.679 0.000
-1.593 0.000 4.891
Ca Ho Ga
5 1 6
direct
0.000 0.000 0.000
0.164 0.164 0.664
0.326 0.326 0.326
0.674 0.674 0.674
0.836 0.836 0.336
0.500 0.500 0.000
0.097 0.578 0.838
0.265 0.735 0.500
0.422 0.903 0.162
0.578 0.097 0.838
0.735 0.265 0.500
0.903 0.422 0.162
```

CaHoGa4 after structural relaxation, computed with GGA-PBE.

Results
As for the space group: F-43m. The energy above the most stable polymorph in this dataset is 0.077 eV/atom. Its uncorrected energy is -3.581 eV per atom. The crystal system is cubic. The value obtained for the formation energy is -0.467 eV/atom.

```
CaHoGa4
1.0
0.000 3.922 3.922
3.922 0.000 3.922
3.922 3.922 0.000
Ca Ho Ga
1 1 4
direct
0.000 0.000 0.000
0.750 0.750 0.750
0.375 0.375 0.375
0.375 0.375 0.874
0.375 0.874 0.375
0.874 0.375 0.375
```

CaHoGa6 after structural relaxation, computed with GGA-PBE.

Results
As for the space group: Pmm2. Its uncorrected energy is -3.501 eV per atom. The crystal system is orthorhombic. The value obtained for the formation energy is -0.409 eV/atom.

```
CaHoGa6
1.0
4.415 0.000 0.000
0.000 6.010 0.000
0.000 0.000 6.100
Ca Ho Ga
1 1 6
direct
0.000 0.000 0.000
0.500 0.500 0.214
0.000 0.258 0.466
0.000 0.500 0.865
0.000 0.742 0.466
0.500 0.000 0.354
0.500 0.250 0.746
0.500 0.750 0.746
```

CaHoInGa after structural relaxation, computed with GGA-PBE.

Results
As for the space group: P4mm. The energy above the most stable polymorph in this dataset is 0.000 eV/atom. Its uncorrected energy is -3.573 eV per atom. The crystal system is tetragonal. The value obtained for the formation energy is -0.486 eV/atom.

```
CaHoInGa
1.0
3.684 0.000 0.000
0.000 3.684 0.000
0.000 0.000 7.511
Ca Ho In Ga
1 1 1 1
direct
0.000 0.000 0.000
0.000 0.000 0.532
0.500 0.500 0.272
0.500 0.500 0.754
```

CaHoInGa after structural relaxation, computed with GGA-PBE.

Results
As for the space group: F-43m. The energy above the most stable polymorph in this dataset is 0.045 eV/atom. Its uncorrected energy is -3.528 eV per atom. The crystal system is cubic. The value obtained for the formation energy is -0.442 eV/atom.

```
CaHoInGa
1.0
0.000 3.712 3.712
3.712 0.000 3.712
3.712 3.712 0.000
Ca Ho In Ga
1 1 1 1
direct
0.000 0.000 0.000
0.500 0.500 0.500
0.750 0.750 0.750
0.250 0.250 0.250
```